Ca3ZnH | GGA-PBEsol | optimized geometry

a = 5.616 Å, b = 5.616 Å, c = 5.616 Å
α = 90.00°, β = 90.00°, γ = 90.00°
Fractional coordinates of all 5 atoms:
Ca1 0.500 0.000 0.000
Ca2 0.000 0.500 0.000
Ca3 0.000 0.000 0.500
Zn1 0.000 0.000 0.000
H1 0.500 0.500 0.500

Computed properties:
Its total magnetization is 0.00 μB/f.u. The total DFT energy (no corrections) comes out at -9.313 eV for the cell shown.